Here is RuRh after structural relaxation from Alexandria via LeMat-Bulk. Energies are from GGA-PBE.

Fermi-level density of states in states/eV/cell: 11.45
Calculated density in Mg/m³: 10.76
Raw total energy in eV per atom: -7.8196
SG: Pmn2_1
Volume in Å³ per atom: 15.74

a b c (Å): 6.3018 3.7293 8.0353
angles (deg): 90.00 90.00 90.00
Positions (direct):
Ru  0.6915  0.3619  0.5585
Ru  0.3085  0.3619  0.5585
Ru  0.0000  0.8569  0.5484
Ru  0.8085  0.6381  0.0585
Ru  0.1915  0.6381  0.0585
Ru  0.5000  0.1431  0.0484
Rh  0.8019  0.1423  0.2771
Rh  0.3019  0.8577  0.7771
Rh  0.5000  0.6444  0.2823
Rh  0.6981  0.8577  0.7771
Rh  0.1981  0.1423  0.2771
Rh  0.0000  0.3555  0.7823